[1]
PrEuHg | PBE | relaxed

energy relative to the lowest polymorph listed for this composition	110.7	meV per atom

a b c (Å): 3.879 5.325 5.325
angles (deg): 120.00 90.00 90.00
Fractional coordinates of all 3 atoms:
Eu  0.958  0.000  0.000
Pr  0.393  0.333  0.667
Hg  0.650  0.667  0.333



[2]
PrEuHg2 | PBE | relaxed

a b c (Å): 3.896 5.470 5.470
angles (deg): 90.00 90.00 90.00
Fractional coordinates of all 4 atoms:
Hg  0.000  0.500  0.000
Hg  0.000  0.000  0.500
Pr  0.500  0.000  0.000
Eu  0.500  0.500  0.500



[3]
PrEuHgPt | PBE | relaxed

a b c (Å): 5.275 5.275 5.275
angles (deg): 60.00 60.00 60.00
Fractional coordinates of all 4 atoms:
Eu  0.500  0.500  0.500
Pr  0.000  0.000  0.000
Hg  0.250  0.250  0.250
Pt  0.750  0.750  0.750



[4]
PrEuHgRh | PBE | relaxed

a b c (Å): 5.234 5.234 5.234
angles (deg): 60.00 60.00 60.00
Fractional coordinates of all 4 atoms:
Eu  0.250  0.250  0.250
Rh  0.000  0.000  0.000
Pr  0.750  0.750  0.750
Hg  0.500  0.500  0.500



[5]
PrEuHgRu | PBE | relaxed

a b c (Å): 5.204 5.204 5.204
angles (deg): 60.00 60.00 60.00
Fractional coordinates of all 4 atoms:
Eu  0.500  0.500  0.500
Ru  0.750  0.750  0.750
Hg  0.250  0.250  0.250
Pr  0.000  0.000  0.000



[6]
PrEuSnHg | PBE | relaxed

a b c (Å): 5.514 5.514 5.514
angles (deg): 60.00 60.00 60.00
Fractional coordinates of all 4 atoms:
Eu  0.000  0.000  0.000
Sn  0.750  0.750  0.750
Pr  0.500  0.500  0.500
Hg  0.250  0.250  0.250



For reference, E_form by record: -0.197; -0.521; -0.705; -0.447; -0.142; -0.616 eV/atom.
For reference, total moment by record: 7.20; 7.20; 6.98; 6.99; 6.96; 7.77 μB per formula unit.